VASP calculation (PBE) on a geometry-optimized ReRhAu2 structure.

M_tot ... 0.00 μB per atom
Energy of formation from the pure elements ... 48.0 kJ per mole of atoms
Density ... 17.72 g/cm³
Energy above the lowest structure with this stoichiometry ... 389.6 meV/atom

Geometry as POSCAR:
```
ReRhAu2
1.0
-2.015 2.015 3.943
2.015 -2.015 3.943
2.015 2.015 -3.943
Re Rh Au
1 1 2
Direct
0.500 0.500 0.000
0.000 0.000 0.000
0.750 0.250 0.500
0.250 0.750 0.500
```